(1)
## TlZnCrCl6 (PBE-GGA)

Data for a relaxed structure of TlZnCrCl6.

The structure belongs to space group P312 (No. 149); the cell edges are 6.3359, 6.3359 and 7.1730 Å and the angles 90.00°, 90.00° and 120.00°. The inequivalent atoms are Tl at (0.0000, 0.0000, 0.0000), Zn at (0.3333, 0.6667, 0.5000), Cr at (0.6667, 0.3333, 0.5000) and Cl at (0.3780, 0.0142, 0.3096).

The calculation puts the uncorrected formation energy at -1.09 eV per atom. Its raw total energy is -3.793 eV per atom.

(2)
## TmCrCl6 (PBE-GGA)

Data for a relaxed structure of TmCrCl6.

The structure belongs to space group R-3 (No. 148, hexagonal axes); the cell edges are 6.3319, 6.3319 and 17.0803 Å and the angles 90.00°, 90.00° and 120.00°. The inequivalent atoms are Tm at (0.0000, 0.0000, 0.0000), Cr at (0.0000, 0.0000, 0.5000) and Cl at (0.0087, 0.3112, 0.5794).

The calculation puts the uncorrected formation energy at -1.60 eV per atom. Its raw total energy is -4.746 eV per atom.

(3)
## V3CrCl (PBE-GGA)

Data for a relaxed structure of V3CrCl.

The structure belongs to space group Pm-3m (No. 221); the cell edges are 4.4281, 4.4281 and 4.4281 Å and the angles 90.00°, 90.00° and 90.00°. The inequivalent atoms are V at (0.0000, 0.0000, 0.5000), Cr at (0.0000, 0.0000, 0.0000) and Cl at (0.5000, 0.5000, 0.5000).

The calculation puts the uncorrected formation energy at 1.15 eV per atom. As for the energy above the most stable polymorph in this dataset: 493 meV per atom. Its raw total energy is -6.617 eV per atom.

(4)
## VCrCl3 (PBE-GGA)

Data for a relaxed structure of VCrCl3.

The structure belongs to space group Pm-3m (No. 221); the cell edges are 4.8655, 4.8655 and 4.8655 Å and the angles 90.00°, 90.00° and 90.00°. The inequivalent atoms are V at (0.0000, 0.0000, 0.0000), Cr at (0.5000, 0.5000, 0.5000) and Cl at (0.0000, 0.5000, 0.5000).

The calculation puts the uncorrected formation energy at -0.17 eV per atom. As for the energy above the most stable polymorph in this dataset: 205 meV per atom. Its raw total energy is -5.024 eV per atom.

(5)
## V2Cr2Cl (PBE-GGA)

Data for a relaxed structure of V2Cr2Cl.

The structure belongs to space group I4/mmm (No. 139); the cell edges are 3.3147, 3.3147 and 14.5733 Å and the angles 90.00°, 90.00° and 90.00°. The inequivalent atoms are V at (0.0000, 0.0000, 0.1275), Cr at (0.0000, 0.5000, 0.2500) and Cl at (0.0000, 0.0000, 0.5000).

The calculation puts the uncorrected formation energy at 0.48 eV per atom. As for the energy above the most stable polymorph in this dataset: 0 meV per atom. Its raw total energy is -7.388 eV per atom.

(6)
## V3CrCl (PBE-GGA)

Data for a relaxed structure of V3CrCl.

The structure belongs to space group Pm-3m (No. 221); the cell edges are 4.2640, 4.2640 and 4.2640 Å and the angles 90.00°, 90.00° and 90.00°. The inequivalent atoms are V at (0.0000, 0.0000, 0.5000), Cr at (0.5000, 0.5000, 0.5000) and Cl at (0.0000, 0.0000, 0.0000).

The calculation puts the uncorrected formation energy at 0.65 eV per atom. As for the energy above the most stable polymorph in this dataset: 0 meV per atom. Its raw total energy is -7.111 eV per atom.

(7)
## VCrCl3 (PBE-GGA)

Data for a relaxed structure of VCrCl3.

The structure belongs to space group Pm-3m (No. 221); the cell edges are 4.8658, 4.8658 and 4.8658 Å and the angles 90.00°, 90.00° and 90.00°. The inequivalent atoms are V at (0.0000, 0.0000, 0.0000), Cr at (0.5000, 0.5000, 0.5000) and Cl at (0.0000, 0.0000, 0.5000).

The calculation puts the uncorrected formation energy at -0.37 eV per atom. As for the energy above the most stable polymorph in this dataset: 0 meV per atom. Its raw total energy is -5.229 eV per atom.

(8)
## VCrCl2 (PBE-GGA)

Data for a relaxed structure of VCrCl2.

The structure belongs to space group I-42d (No. 122); the cell edges are 6.0019, 6.0019 and 10.9371 Å and the angles 90.00°, 90.00° and 90.00°. The inequivalent atoms are V at (0.0000, 0.0000, 0.0000), Cr at (0.0000, 0.0000, 0.5000) and Cl at (0.2416, 0.2500, 0.1250).

The calculation puts the uncorrected formation energy at 0.12 eV per atom. As for the energy above the most stable polymorph in this dataset: 175 meV per atom. Its raw total energy is -5.493 eV per atom.

(9)
## VCrCl2 (PBE-GGA)

Data for a relaxed structure of VCrCl2.

The structure belongs to space group R-3m (No. 166, hexagonal axes); the cell edges are 3.1411, 3.1411 and 28.6862 Å and the angles 90.00°, 90.00° and 120.00°. The inequivalent atoms are V at (0.0000, 0.0000, 0.0000), Cr at (0.0000, 0.0000, 0.5000) and Cl at (0.0000, 0.0000, 0.3885).

The calculation puts the uncorrected formation energy at -0.06 eV per atom. As for the energy above the most stable polymorph in this dataset: 0 meV per atom. Its raw total energy is -5.667 eV per atom.

(10)
## V3CrCl8 (PBE-GGA)

Data for a relaxed structure of V3CrCl8.

The structure belongs to space group P6_3mc (No. 186); the cell edges are 7.2837, 7.2837 and 11.6341 Å and the angles 90.00°, 90.00° and 120.00°. The inequivalent atoms are V at (0.1683, 0.3365, 0.0000), Cr at (0.3333, 0.6667, 0.2698), Cl at (0.0000, 0.0000, 0.1105), Cl at (0.0244, 0.5122, 0.1232), Cl at (0.1608, 0.3216, 0.3824) and Cl at (0.3333, 0.6667, 0.8843).

The calculation puts the uncorrected formation energy at -1.06 eV per atom. Its raw total energy is -5.374 eV per atom.

(11)
## V2Cr2Cl (PBE-GGA)

Data for a relaxed structure of V2Cr2Cl.

The structure belongs to space group P4/mbm (No. 127); the cell edges are 6.9532, 6.9532 and 3.0952 Å and the angles 90.00°, 90.00° and 90.00°. The inequivalent atoms are V at (0.1453, 0.3547, 0.0000), Cr at (0.1356, 0.6356, 0.5000) and Cl at (0.0000, 0.0000, 0.0000).

The calculation puts the uncorrected formation energy at 0.60 eV per atom. As for the energy above the most stable polymorph in this dataset: 120 meV per atom. Its raw total energy is -7.268 eV per atom.

(12)
## VCr2Cl6 (PBE-GGA)

Data for a relaxed structure of VCr2Cl6.

The structure belongs to space group C2/m (No. 12); the cell edges are 13.8597, 3.5221 and 9.9108 Å and the angles 90.00°, 108.20° and 90.00°. The inequivalent atoms are V at (0.0000, 0.0000, 0.0000), Cr at (0.1814, 0.5000, 0.3138), Cl at (0.0530, 0.0000, 0.2643), Cl at (0.1262, 0.5000, 0.0143) and Cl at (0.1956, 0.5000, 0.6284).

The calculation puts the uncorrected formation energy at -0.99 eV per atom. Its raw total energy is -5.372 eV per atom.

(13)
## ZrVCr2Cl (PBE-GGA)

Data for a relaxed structure of ZrVCr2Cl.

The structure belongs to space group P4/mmm (No. 123); the cell edges are 4.2326, 4.2326 and 4.3179 Å and the angles 90.00°, 90.00° and 90.00°. The inequivalent atoms are Zr at (0.0000, 0.0000, 0.0000), V at (0.5000, 0.5000, 0.0000), Cr at (0.0000, 0.5000, 0.5000) and Cl at (0.5000, 0.5000, 0.5000).

The calculation puts the uncorrected formation energy at 0.51 eV per atom. Its raw total energy is -7.240 eV per atom.

(14)
## CrW2Cl (PBE-GGA)

Data for a relaxed structure of CrW2Cl.

The structure belongs to space group R3m (No. 160, hexagonal axes); the cell edges are 2.9542, 2.9542 and 25.0244 Å and the angles 90.00°, 90.00° and 120.00°. The inequivalent atoms are Cr at (0.0000, 0.0000, 0.0000), W at (0.0000, 0.0000, 0.4983), W at (0.0000, 0.0000, 0.7441) and Cl at (0.0000, 0.0000, 0.2572).

The calculation puts the uncorrected formation energy at 0.48 eV per atom. As for the energy above the most stable polymorph in this dataset: 106 meV per atom. Its raw total energy is -8.867 eV per atom.

(15)
## CrW2Cl (PBE-GGA)

Data for a relaxed structure of CrW2Cl.

The structure belongs to space group Fm-3m (No. 225); the cell edges are 6.1789, 6.1789 and 6.1789 Å and the angles 90.00°, 90.00° and 90.00°. The inequivalent atoms are Cr at (0.0000, 0.0000, 0.0000), W at (0.2500, 0.2500, 0.2500) and Cl at (0.0000, 0.0000, 0.5000).

The calculation puts the uncorrected formation energy at 1.14 eV per atom. As for the energy above the most stable polymorph in this dataset: 768 meV per atom. Its raw total energy is -8.204 eV per atom.

(16)
## CrW2Cl (PBE-GGA)

Data for a relaxed structure of CrW2Cl.

The structure belongs to space group Cmmm (No. 65); the cell edges are 5.1874, 8.6207 and 2.7944 Å and the angles 90.00°, 90.00° and 90.00°. The inequivalent atoms are Cr at (0.0000, 0.0000, 0.0000), W at (0.2500, 0.2500, 0.5000) and Cl at (0.0000, 0.5000, 0.0000).

The calculation puts the uncorrected formation energy at 1.11 eV per atom. As for the energy above the most stable polymorph in this dataset: 734 meV per atom. Its raw total energy is -8.239 eV per atom.

(17)
## CrW2Cl (PBE-GGA)

Data for a relaxed structure of CrW2Cl.

The structure belongs to space group I4/mmm (No. 139); the cell edges are 3.7027, 3.7027 and 9.3326 Å and the angles 90.00°, 90.00° and 90.00°. The inequivalent atoms are Cr at (0.0000, 0.0000, 0.0000), W at (0.0000, 0.5000, 0.2500) and Cl at (0.0000, 0.0000, 0.5000).

The calculation puts the uncorrected formation energy at 1.14 eV per atom. As for the energy above the most stable polymorph in this dataset: 771 meV per atom. Its raw total energy is -8.202 eV per atom.

(18)
## CrW3Cl (PBE-GGA)

Data for a relaxed structure of CrW3Cl.

The structure belongs to space group Pm-3m (No. 221); the cell edges are 4.3607, 4.3607 and 4.3607 Å and the angles 90.00°, 90.00° and 90.00°. The inequivalent atoms are Cr at (0.0000, 0.0000, 0.0000), W at (0.0000, 0.5000, 0.5000) and Cl at (0.5000, 0.5000, 0.5000).

The calculation puts the uncorrected formation energy at 1.77 eV per atom. As for the energy above the most stable polymorph in this dataset: 0 meV per atom. Its raw total energy is -8.299 eV per atom.

(19)
## CrW2Cl (PBE-GGA)

Data for a relaxed structure of CrW2Cl.

The structure belongs to space group Cmmm (No. 65); the cell edges are 3.0231, 4.7134 and 8.6513 Å and the angles 90.00°, 90.00° and 90.00°. The inequivalent atoms are Cr at (0.0000, 0.0000, 0.0000), W at (0.0000, 0.5000, 0.2348) and Cl at (0.0000, 0.0000, 0.5000).

The calculation puts the uncorrected formation energy at 0.59 eV per atom. As for the energy above the most stable polymorph in this dataset: 220 meV per atom. Its raw total energy is -8.753 eV per atom.

(20)
## CrW2Cl (PBE-GGA)

Data for a relaxed structure of CrW2Cl.

The structure belongs to space group I-42d (No. 122); the cell edges are 3.6857, 3.6857 and 20.2608 Å and the angles 90.00°, 90.00° and 90.00°. The inequivalent atoms are Cr at (0.0000, 0.0000, 0.0000), W at (0.2378, 0.2500, 0.1250) and Cl at (0.0000, 0.0000, 0.5000).

The calculation puts the uncorrected formation energy at 1.12 eV per atom. As for the energy above the most stable polymorph in this dataset: 745 meV per atom. Its raw total energy is -8.228 eV per atom.

(21)
## CrWCl4 (PBE-GGA)

Data for a relaxed structure of CrWCl4.

The structure belongs to space group F-43m (No. 216); the cell edges are 8.0813, 8.0813 and 8.0813 Å and the angles 90.00°, 90.00° and 90.00°. The inequivalent atoms are Cr at (0.0000, 0.0000, 0.0000), W at (0.2500, 0.2500, 0.7500) and Cl at (0.1246, 0.1246, 0.3754).

The calculation puts the uncorrected formation energy at 1.46 eV per atom. Its raw total energy is -3.537 eV per atom.

(22)
## CrW2Cl (PBE-GGA)

Data for a relaxed structure of CrW2Cl.

The structure belongs to space group C2/m (No. 12); the cell edges are 10.8458, 3.0442 and 4.0857 Å and the angles 90.00°, 91.82° and 90.00°. The inequivalent atoms are Cr at (0.0000, 0.0000, 0.0000), W at (0.2061, 0.5000, 0.7800) and Cl at (0.0000, 0.5000, 0.5000).

The calculation puts the uncorrected formation energy at 0.77 eV per atom. As for the energy above the most stable polymorph in this dataset: 398 meV per atom. Its raw total energy is -8.575 eV per atom.

(23)
## CrW2Cl (PBE-GGA)

Data for a relaxed structure of CrW2Cl.

The structure belongs to space group I-4m2 (No. 119); the cell edges are 4.2646, 4.2646 and 7.0370 Å and the angles 90.00°, 90.00° and 90.00°. The inequivalent atoms are Cr at (0.0000, 0.0000, 0.0000), W at (0.0000, 0.0000, 0.5000), W at (0.0000, 0.5000, 0.7500) and Cl at (0.0000, 0.5000, 0.2500).

The calculation puts the uncorrected formation energy at 1.18 eV per atom. As for the energy above the most stable polymorph in this dataset: 805 meV per atom. Its raw total energy is -8.168 eV per atom.

(24)
## CrW2Cl (PBE-GGA)

Data for a relaxed structure of CrW2Cl.

The structure belongs to space group Cmm2 (No. 35); the cell edges are 3.1358, 4.7795 and 8.7406 Å and the angles 90.00°, 90.00° and 90.00°. The inequivalent atoms are Cr at (0.0000, 0.0000, 0.0000), W at (0.0000, 0.0000, 0.4776), W at (0.0000, 0.5000, 0.2362) and Cl at (0.0000, 0.5000, 0.7912).

The calculation puts the uncorrected formation energy at 0.46 eV per atom. As for the energy above the most stable polymorph in this dataset: 84 meV per atom. Its raw total energy is -8.889 eV per atom.

(25)
## CrW2Cl (PBE-GGA)

Data for a relaxed structure of CrW2Cl.

The structure belongs to space group P2/m (No. 10); the cell edges are 2.8161, 4.1466 and 5.4206 Å and the angles 90.00°, 104.00° and 90.00°. The inequivalent atoms are Cr at (0.0000, 0.0000, 0.0000), W at (0.2864, 0.5000, 0.7695) and Cl at (0.5000, 0.0000, 0.5000).

The calculation puts the uncorrected formation energy at 0.84 eV per atom. As for the energy above the most stable polymorph in this dataset: 467 meV per atom. Its raw total energy is -8.506 eV per atom.

(26)
## CrW2Cl (PBE-GGA)

Data for a relaxed structure of CrW2Cl.

The structure belongs to space group Cm (No. 8); the cell edges are 9.6657, 2.9093 and 4.5946 Å and the angles 90.00°, 116.19° and 90.00°. The inequivalent atoms are Cr at (0.0000, 0.0000, 0.0000), W at (0.2397, 0.0000, 0.7680), W at (0.4513, 0.0000, 0.4646) and Cl at (0.2135, 0.5000, 0.1580).

The calculation puts the uncorrected formation energy at 0.78 eV per atom. As for the energy above the most stable polymorph in this dataset: 412 meV per atom. Its raw total energy is -8.561 eV per atom.

(27)
## CrW2Cl (PBE-GGA)

Data for a relaxed structure of CrW2Cl.

The structure belongs to space group P4/mmm (No. 123); the cell edges are 2.9242, 2.9242 and 7.0973 Å and the angles 90.00°, 90.00° and 90.00°. The inequivalent atoms are Cr at (0.0000, 0.0000, 0.0000), W at (0.5000, 0.5000, 0.2166) and Cl at (0.0000, 0.0000, 0.5000).

The calculation puts the uncorrected formation energy at 0.56 eV per atom. As for the energy above the most stable polymorph in this dataset: 186 meV per atom. Its raw total energy is -8.787 eV per atom.